(1)
Entry from the Alexandria database: a geometry-optimized ZrHPbBr structure (PBE).

## Properties
Space-group type ... Cm
Raw total energy ... -4.65 eV/atom
Volume ... 96.7 Å³ per cell

The structure in POSCAR format:
```
ZrHPbBr
1.0
-1.3025 -2.8240 1.3305
0.7622 -3.9779 -3.3901
4.4474 -2.6992 2.9234
H Br Pb Zr
1 1 1 1
Direct
0.3918 0.2260 0.8734
0.6356 0.6517 0.9608
0.1631 0.0989 0.4562
0.8993 0.0871 0.9975
```

---

(2)
Entry from the Alexandria database: a geometry-optimized ZrHPbBr structure (PBE).

## Properties
Space-group type ... P1
Raw total energy ... -4.69 eV/atom
Volume ... 94.8 Å³ per cell

The structure in POSCAR format:
```
ZrHPbBr
1.0
-3.1885 0.5569 1.1170
-1.3269 -3.2091 -2.1878
1.1711 -3.9083 5.3792
H Zr Pb Br
1 1 1 1
Direct
0.3212 0.9266 0.9909
0.3225 0.4241 0.9335
0.8248 0.9135 0.7105
0.8198 0.4354 0.2446
```